No. 1
# La2Tb3Pr4

An optimized crystal structure of La2Tb3Pr4 (PBE, the Alexandria database).

a = 3.601 Å, b = 8.862 Å, c = 10.295 Å
α = 99.23°, β = 100.07°, γ = 90.00°
Fractional positions:
1 La 0.666 0.041 0.331
2 La 0.334 0.959 0.669
3 Tb 0.106 0.362 0.211
4 Tb 0.894 0.638 0.789
5 Tb 0.000 0.000 0.000
6 Pr 0.549 0.685 0.098
7 Pr 0.279 0.350 0.558
8 Pr 0.451 0.315 0.902
9 Pr 0.721 0.650 0.442

- distance to the lowest polymorph of the same formula (meV per atom) = 0.0
- calculated formation energy (eV/atom) = 0.074
- space group = C2/m (12)
- total magnetic moment (μB/cell) = 0.00

***

No. 2
# La4Tb3Pr

An optimized crystal structure of La4Tb3Pr (PBE, the Alexandria database).

a = 3.545 Å, b = 11.859 Å, c = 9.087 Å
α = 130.75°, β = 101.25°, γ = 90.00°
Fractional positions:
1 Pr 0.500 0.000 0.000
2 Tb 0.000 0.500 0.000
3 Tb 0.762 0.762 0.524
4 Tb 0.238 0.238 0.476
5 La 0.633 0.384 0.266
6 La 0.367 0.616 0.734
7 La 0.367 0.118 0.734
8 La 0.633 0.882 0.266

- distance to the lowest polymorph of the same formula (meV per atom) = 78.0
- calculated formation energy (eV/atom) = 0.111
- space group = Immm (71)
- total magnetic moment (μB/cell) = 0.00

***

No. 3
# La5TbPr5

An optimized crystal structure of La5TbPr5 (PBE, the Alexandria database).

a = 6.322 Å, b = 6.322 Å, c = 11.527 Å
α = 90.00°, β = 90.00°, γ = 120.00°
Fractional positions:
1 La 0.344 0.172 0.500
2 La 0.000 0.000 0.267
3 La 0.828 0.656 0.500
4 La 0.828 0.172 0.500
5 La 0.000 0.000 0.733
6 Tb 0.333 0.667 0.000
7 Pr 0.667 0.333 0.163
8 Pr 0.667 0.333 0.837
9 Pr 0.333 0.667 0.317
10 Pr 0.333 0.667 0.683
11 Pr 0.000 0.000 0.000

- calculated formation energy (eV/atom) = 0.247
- space group = P-6m2 (187)
- total magnetic moment (μB/cell) = 0.00

***

No. 4
# La4Tb7Pr

An optimized crystal structure of La4Tb7Pr (PBE, the Alexandria database).

a = 6.021 Å, b = 11.917 Å, c = 6.815 Å
α = 83.62°, β = 63.79°, γ = 75.37°
Fractional positions:
1 La 0.634 0.223 0.509
2 La 0.366 0.777 0.491
3 La 0.777 0.667 0.779
4 La 0.223 0.333 0.221
5 Tb 0.789 0.924 0.498
6 Tb 0.211 0.076 0.502
7 Tb 0.070 0.685 0.175
8 Tb 0.930 0.315 0.825
9 Tb 0.367 0.496 0.770
10 Tb 0.500 0.000 0.000
11 Tb 0.633 0.504 0.230
12 Pr 0.000 0.000 0.000

- distance to the lowest polymorph of the same formula (meV per atom) = 220.2
- calculated formation energy (eV/atom) = 0.235
- space group = C2/m (12)
- total magnetic moment (μB/cell) = 0.00

***

No. 5
# LaTb3Pr12

An optimized crystal structure of LaTb3Pr12 (PBE, the Alexandria database).

a = 5.216 Å, b = 5.216 Å, c = 20.857 Å
α = 90.00°, β = 90.00°, γ = 90.00°
Fractional positions:
1 La 0.000 0.000 0.000
2 Tb 0.000 0.000 0.252
3 Tb 0.000 0.000 0.500
4 Tb 0.000 0.000 0.748
5 Pr 0.500 0.500 0.000
6 Pr 0.500 0.500 0.253
7 Pr 0.500 0.500 0.500
8 Pr 0.500 0.500 0.747
9 Pr 0.500 0.000 0.128
10 Pr 0.500 0.000 0.376
11 Pr 0.500 0.000 0.624
12 Pr 0.500 0.000 0.872
13 Pr 0.000 0.500 0.128
14 Pr 0.000 0.500 0.376
15 Pr 0.000 0.500 0.624
16 Pr 0.000 0.500 0.872

- calculated formation energy (eV/atom) = 0.013
- space group = P4/mmm (123)
- total magnetic moment (μB/cell) = 0.00

***

No. 6
# La4Tb3Pr2

An optimized crystal structure of La4Tb3Pr2 (PBE, the Alexandria database).

a = 3.663 Å, b = 3.663 Å, c = 27.578 Å
α = 90.00°, β = 90.00°, γ = 120.00°
Fractional positions:
1 La 0.000 0.000 0.547
2 La 0.667 0.333 0.431
3 La 0.667 0.333 0.218
4 La 0.000 0.000 0.761
5 Tb 0.000 0.000 0.983
6 Tb 0.000 0.000 0.323
7 Tb 0.667 0.333 0.654
8 Pr 0.667 0.333 0.086
9 Pr 0.667 0.333 0.875

- distance to the lowest polymorph of the same formula (meV per atom) = 33.1
- calculated formation energy (eV/atom) = 0.058
- space group = P3m1 (156)
- total magnetic moment (μB/cell) = 0.00

***

No. 7
# La8TbPr6

An optimized crystal structure of La8TbPr6 (PBE, the Alexandria database).

a = 10.023 Å, b = 10.023 Å, c = 8.513 Å
α = 53.93°, β = 53.93°, γ = 60.00°
Fractional positions:
1 La 0.865 0.377 0.706
2 La 0.948 0.135 0.294
3 La 0.623 0.948 0.294
4 La 0.235 0.235 0.296
5 La 0.765 0.765 0.704
6 La 0.377 0.052 0.706
7 La 0.052 0.865 0.706
8 La 0.135 0.623 0.294
9 Tb 0.000 0.000 0.000
10 Pr 0.829 0.569 0.221
11 Pr 0.619 0.171 0.779
12 Pr 0.431 0.619 0.779
13 Pr 0.569 0.381 0.221
14 Pr 0.381 0.829 0.221
15 Pr 0.171 0.431 0.779

- distance to the lowest polymorph of the same formula (meV per atom) = 0.0
- calculated formation energy (eV/atom) = 0.109
- space group = R-3 (148)
- total magnetic moment (μB/cell) = 0.00

***

No. 8
# La3TbPr

An optimized crystal structure of La3TbPr (PBE, the Alexandria database).

a = 6.546 Å, b = 6.907 Å, c = 8.903 Å
α = 67.18°, β = 90.00°, γ = 90.00°
Fractional positions:
1 La 0.750 0.072 0.333
2 La 0.750 0.595 0.333
3 La 0.250 0.405 0.667
4 La 0.250 0.928 0.667
5 La 0.000 0.000 0.000
6 La 0.500 0.000 0.000
7 Tb 0.750 0.590 0.820
8 Tb 0.250 0.410 0.180
9 Pr 0.750 0.171 0.659
10 Pr 0.250 0.829 0.341

- distance to the lowest polymorph of the same formula (meV per atom) = 165.8
- calculated formation energy (eV/atom) = 0.295
- space group = Cmcm (63)
- total magnetic moment (μB/cell) = 0.00